Record 1
The following is a SCAN calculation of Hf2ZrMo at its PBEsol-relaxed geometry, from Alexandria.

Results
- D(E_F): 6.1 states/eV/cell
- V: 77 Å³ per cell
- M_tot: 0.00 μB per cell
- Energy of formation: 0.097 eV per atom

The structure in POSCAR format:
```
Hf2ZrMo
1.0
4.774 0.000 0.000
2.387 4.134 0.000
2.387 1.378 3.898
Hf Mo Zr
2 1 1
direct
0.750 0.750 0.750
0.250 0.250 0.250
0.500 0.500 0.500
0.000 0.000 0.000
```



Record 2
The following is a SCAN calculation of Zn3Cu at its PBEsol-relaxed geometry, from Alexandria.

Results
- D(E_F): 1.8 states/eV/cell
- V: 104 Å³ per cell
- M_tot: 0.00 μB per cell
- Energy of formation: -0.082 eV per atom

The structure in POSCAR format:
```
Zn3Cu
1.0
-3.309 -2.076 -1.661
3.241 -2.400 -3.455
-0.970 -2.231 4.720
Zn Cu
6 2
direct
0.750 0.831 0.661
0.750 0.339 0.169
0.250 0.169 0.831
0.250 0.661 0.831
0.250 0.169 0.339
0.750 0.831 0.169
0.250 0.667 0.333
0.750 0.333 0.667
```



Record 3
The following is a SCAN calculation of YAg22 at its PBEsol-relaxed geometry, from Alexandria.

Results
- D(E_F): 15.8 states/eV/cell
- V: 812 Å³ per cell
- M_tot: 0.00 μB per cell
- Energy of formation: 0.044 eV per atom

The structure in POSCAR format:
```
YAg22
1.0
10.473 0.000 0.000
5.236 9.070 0.000
5.236 3.023 8.551
Ag Y
44 2
direct
0.922 0.448 0.183
0.328 0.802 0.802
0.922 0.448 0.448
0.067 0.802 0.802
0.183 0.448 0.922
0.887 0.613 0.887
0.328 0.802 0.067
0.625 0.125 0.125
0.125 0.125 0.125
0.363 0.637 0.637
0.802 0.802 0.328
0.613 0.887 0.613
0.625 0.625 0.125
0.328 0.067 0.802
0.637 0.637 0.363
0.125 0.625 0.625
0.067 0.328 0.802
0.448 0.183 0.922
0.125 0.625 0.125
0.183 0.922 0.448
0.448 0.448 0.183
0.625 0.125 0.625
0.637 0.363 0.363
0.637 0.363 0.637
0.448 0.448 0.922
0.183 0.448 0.448
0.448 0.922 0.448
0.802 0.328 0.802
0.802 0.802 0.067
0.448 0.922 0.183
0.067 0.802 0.328
0.802 0.067 0.328
0.802 0.067 0.802
0.887 0.613 0.613
0.922 0.183 0.448
0.363 0.363 0.637
0.363 0.637 0.363
0.613 0.887 0.887
0.625 0.625 0.625
0.448 0.183 0.448
0.613 0.613 0.887
0.125 0.125 0.625
0.887 0.887 0.613
0.802 0.328 0.067
0.250 0.250 0.250
0.000 0.000 0.000
```



Record 4
The following is a SCAN calculation of Zr2Zn at its PBEsol-relaxed geometry, from Alexandria.

Results
- D(E_F): 5.3 states/eV/cell
- V: 116 Å³ per cell
- M_tot: 0.00 μB per cell
- Energy of formation: -0.164 eV per atom

The structure in POSCAR format:
```
Zr2Zn
1.0
-2.609 1.302 1.187
-1.231 -5.309 -1.057
3.340 0.636 6.645
Zn Zr
2 4
direct
0.187 0.373 0.067
0.813 0.627 0.933
0.515 0.029 0.221
0.839 0.677 0.401
0.485 0.971 0.779
0.161 0.323 0.599
```



Record 5
The following is a SCAN calculation of ZrIrRu2 at its PBEsol-relaxed geometry, from Alexandria.

Results
- D(E_F): 3.8 states/eV/cell
- V: 60 Å³ per cell
- M_tot: 0.00 μB per cell
- Energy of formation: -0.319 eV per atom

The structure in POSCAR format:
```
ZrIrRu2
1.0
-0.053 -3.875 0.589
1.238 -0.575 -3.674
3.138 2.361 2.779
Ru Zr Ir
2 1 1
direct
0.750 0.250 0.500
0.250 0.750 0.500
0.500 0.500 0.000
0.000 0.000 0.000
```



Record 6
The following is a SCAN calculation of ReIr3 at its PBEsol-relaxed geometry, from Alexandria.

Results
- D(E_F): 6.4 states/eV/cell
- V: 113 Å³ per cell
- M_tot: 0.00 μB per cell
- Energy of formation: -0.156 eV per atom

The structure in POSCAR format:
```
ReIr3
1.0
4.357 0.000 0.000
0.000 5.471 0.000
0.000 -2.736 4.738
Ir Re
6 2
direct
0.250 0.833 0.167
0.750 0.666 0.833
0.250 0.334 0.167
0.250 0.833 0.666
0.750 0.167 0.833
0.750 0.167 0.334
0.250 0.333 0.667
0.750 0.667 0.333
```



Record 7
The following is a SCAN calculation of BeMo2Os at its PBEsol-relaxed geometry, from Alexandria.

Results
- D(E_F): 2.8 states/eV/cell
- V: 55 Å³ per cell
- M_tot: 0.00 μB per cell
- Energy of formation: 0.036 eV per atom

The structure in POSCAR format:
```
BeMo2Os
1.0
2.747 0.000 0.004
0.000 4.208 0.000
-0.609 0.000 4.719
Mo Be Os
2 1 1
direct
0.948 0.000 0.959
0.790 0.500 0.282
0.385 0.500 0.775
0.377 0.000 0.484
```



Record 8
The following is a SCAN calculation of SiSbSeN2 at its PBEsol-relaxed geometry, from Alexandria.

Results
- Energy relative to the elements, uncorrected: 3.47 eV per formula unit
- D(E_F): 1.2 states/eV/cell
- V: 69 Å³ per cell
- M_tot: 0.74 μB per cell

The structure in POSCAR format:
```
SiSbSeN2
1.0
-1.435 1.847 -2.935
2.599 -1.530 -2.234
-2.978 -3.743 -0.900
N Sb Si Se
2 1 1 1
direct
0.500 0.000 0.000
0.000 0.500 0.000
0.500 0.500 0.500
0.000 0.000 0.000
0.000 0.000 0.500
```